(1)
Compound: TbPmYTm2
Source: Alexandria
Functional: PBE
Structure: optimized geometry

Values from the calculation:
DOS(E_F), states/eV/f.u.: 8.5
Electronic total energy, eV per atom: -4.610

a = 8.8712 Å, b = 8.8712 Å, c = 6.3667 Å
α = 90.00°, β = 90.00°, γ = 137.91°
Sites, in units of the cell vectors:
Tb 0.1555 0.8445 0.7500
Tb 0.8445 0.1555 0.2500
Pm 0.3426 0.6574 0.7500
Pm 0.6574 0.3426 0.2500
Y 0.2543 0.7457 0.2500
Y 0.7457 0.2543 0.7500
Tm 0.2505 0.2505 0.0000
Tm 0.2505 0.2505 0.5000
Tm 0.7495 0.7495 0.0000
Tm 0.7495 0.7495 0.5000



(2)
Compound: LiLa2Co
Source: Alexandria
Functional: PBE
Structure: optimized geometry

Values from the calculation:
DOS(E_F), states/eV/f.u.: 3.6
Electronic total energy, eV per atom: -4.736

a = 6.8577 Å, b = 3.9374 Å, c = 9.1128 Å
α = 90.00°, β = 103.85°, γ = 90.00°
Sites, in units of the cell vectors:
Li 0.0000 0.0000 0.0000
Li 0.5000 0.5000 0.0000
La 0.2248 0.0000 0.6752
La 0.2752 0.5000 0.3248
La 0.7248 0.5000 0.6752
La 0.7752 0.0000 0.3248
Co 0.0000 0.5000 0.5000
Co 0.5000 0.0000 0.5000



(3)
Compound: LiMoIr3
Source: Alexandria
Functional: PBE
Structure: optimized geometry

Values from the calculation:
Polymorph energy (0 for the lowest one), kJ/mol of atoms: 0.0
DOS(E_F), states/eV/f.u.: 7.0

a = 4.1118 Å, b = 4.1118 Å, c = 4.1118 Å
α = 90.00°, β = 90.00°, γ = 90.00°
Sites, in units of the cell vectors:
Li 0.0000 0.0000 0.0000
Mo 0.5000 0.5000 0.5000
Ir 0.0000 0.0000 0.5000
Ir 0.0000 0.5000 0.0000
Ir 0.5000 0.0000 0.0000



(4)
Compound: TbThCoI
Source: Alexandria
Functional: PBE
Structure: optimized geometry

Values from the calculation:
DOS(E_F), states/eV/f.u.: 2.5
Uncorrected formation energy, eV/atom: -0.6032

a = 6.9680 Å, b = 4.0433 Å, c = 8.3948 Å
α = 90.00°, β = 106.15°, γ = 90.00°
Sites, in units of the cell vectors:
Tb 0.0000 0.0000 0.0000
Tb 0.5000 0.5000 0.0000
Th 0.2191 0.0000 0.6527
Th 0.7191 0.5000 0.6527
Co 0.1042 0.5000 0.8119
Co 0.6042 0.0000 0.8119
I 0.2720 0.5000 0.3152
I 0.7720 0.0000 0.3152



(5)
Compound: BaTa2Ni
Source: Alexandria
Functional: PBE
Structure: optimized geometry

Values from the calculation:
Polymorph energy (0 for the lowest one), kJ/mol of atoms: 53.2
DOS(E_F), states/eV/f.u.: 4.9

a = 3.2582 Å, b = 4.7236 Å, c = 5.4667 Å
α = 90.00°, β = 90.00°, γ = 90.00°
Sites, in units of the cell vectors:
Ba 0.0000 0.0000 0.0000
Ta 0.0000 0.5000 0.5000
Ta 0.5000 0.0000 0.5000
Ni 0.5000 0.5000 0.0000



(6)
Compound: TaSiNi
Source: Alexandria
Functional: PBE
Structure: optimized geometry

Values from the calculation:
DOS(E_F), states/eV/f.u.: 3.4
Uncorrected formation energy, eV/atom: -0.0775

a = 2.8057 Å, b = 2.8057 Å, c = 6.2678 Å
α = 90.00°, β = 90.00°, γ = 120.00°
Sites, in units of the cell vectors:
Ta 0.0000 0.0000 0.0000
Si 0.3333 0.6667 0.6395
Ni 0.6667 0.3333 0.3545



(7)
Compound: Sb2AuSe2
Source: Alexandria
Functional: PBE
Structure: optimized geometry

Values from the calculation:
Polymorph energy (0 for the lowest one), kJ/mol of atoms: 27.4
DOS(E_F), states/eV/f.u.: 3.0
Uncorrected formation energy, eV/atom: 0.2506

a = 8.1038 Å, b = 8.1038 Å, c = 3.7127 Å
α = 90.00°, β = 90.00°, γ = 90.00°
Sites, in units of the cell vectors:
Sb 0.1732 0.3268 0.0000
Sb 0.3268 0.8268 0.0000
Sb 0.6732 0.1732 0.0000
Sb 0.8268 0.6732 0.0000
Au 0.0000 0.0000 0.5000
Au 0.5000 0.5000 0.5000
Se 0.1458 0.6458 0.5000
Se 0.3542 0.1458 0.5000
Se 0.6458 0.8542 0.5000
Se 0.8542 0.3542 0.5000



(8)
Compound: Y2ScSb
Source: Alexandria
Functional: PBE
Structure: optimized geometry

Values from the calculation:
DOS(E_F), states/eV/f.u.: 5.6
Uncorrected formation energy, eV/atom: -0.5333

a = 4.6069 Å, b = 4.0982 Å, c = 11.9048 Å
α = 90.00°, β = 90.00°, γ = 90.00°
Sites, in units of the cell vectors:
Y 0.0000 0.0000 0.0000
Y 0.0000 0.5000 0.5000
Y 0.5000 0.0000 0.3002
Y 0.5000 0.5000 0.8002
Sc 0.0000 0.0000 0.7235
Sc 0.0000 0.5000 0.2235
Sb 0.5000 0.0000 0.5762
Sb 0.5000 0.5000 0.0762